Entry from Alexandria via LeMat-Bulk: Tl3HgW2O9 after structural relaxation (PBE+U).

a = 5.809 Å, b = 5.809 Å, c = 7.619 Å
α = 90.00°, β = 90.00°, γ = 120.00°
Fractional positions:
Tl  0.000  0.000  0.000
Tl  0.333  0.667  0.664
Tl  0.667  0.333  0.336
Hg  0.000  0.000  0.500
W  0.333  0.667  0.158
W  0.667  0.333  0.842
O  0.000  0.500  0.000
O  0.175  0.350  0.290
O  0.175  0.825  0.290
O  0.350  0.175  0.710
O  0.500  0.000  0.000
O  0.500  0.500  0.000
O  0.650  0.825  0.290
O  0.825  0.175  0.710
O  0.825  0.650  0.710

Calculated values
- size of the total moment (μB per formula unit) = 0.000
- electronic total energy (eV per atom) = -5.686
- V (Å³/cell) = 222.63